Record 1
# PBE-GGA IrRuCl3, relaxed
# energy above the lowest structure with this stoichiometry = 0.0 meV per atom
# theoretical density = 5928 kg/m³
# size of the total moment = 3.34 μB/f.u.
# raw formation energy = 0.866 eV per atom
# D(E_F) = 0.79 states/eV/atom
data_IrRuCl3
_symmetry_space_group_name_H-M 'P m -3 m'
_symmetry_Int_Tables_number 221
_symmetry_space_group_name_Hall '-P 4 2 3'
_cell_length_a 4.820
_cell_length_b 4.820
_cell_length_c 4.820
_cell_angle_alpha 90.00
_cell_angle_beta 90.00
_cell_angle_gamma 90.00
loop_
_atom_site_label
_atom_site_type_symbol
_atom_site_fract_x
_atom_site_fract_y
_atom_site_fract_z
Ir1 Ir 0.000 0.000 0.000
Ru1 Ru 0.500 0.500 0.500
Cl1 Cl 0.000 0.000 0.500

---

Record 2
# PBE-GGA IrRuCl3, relaxed
# energy above the lowest structure with this stoichiometry = 184.8 meV per atom
# theoretical density = 6216 kg/m³
# size of the total moment = 3.24 μB/f.u.
# raw formation energy = 1.051 eV per atom
# D(E_F) = 1.64 states/eV/atom
data_IrRuCl3
_symmetry_space_group_name_H-M 'P m -3 m'
_symmetry_Int_Tables_number 221
_symmetry_space_group_name_Hall '-P 4 2 3'
_cell_length_a 4.744
_cell_length_b 4.744
_cell_length_c 4.744
_cell_angle_alpha 90.00
_cell_angle_beta 90.00
_cell_angle_gamma 90.00
loop_
_atom_site_label
_atom_site_type_symbol
_atom_site_fract_x
_atom_site_fract_y
_atom_site_fract_z
Ir1 Ir 0.000 0.000 0.000
Ru1 Ru 0.500 0.500 0.500
Cl1 Cl 0.000 0.500 0.500

---

Record 3
# PBE-GGA Ir2RuCl, relaxed
# energy above the lowest structure with this stoichiometry = 194.0 meV per atom
# theoretical density = 14019 kg/m³
# size of the total moment = 0.00 μB/f.u.
# raw formation energy = 0.625 eV per atom
# D(E_F) = 1.50 states/eV/atom
data_Ir2RuCl
_symmetry_space_group_name_H-M 'C m m 2'
_symmetry_Int_Tables_number 35
_symmetry_space_group_name_Hall 'C 2 -2'
_cell_length_a 2.721
_cell_length_b 4.914
_cell_length_c 9.230
_cell_angle_alpha 90.00
_cell_angle_beta 90.00
_cell_angle_gamma 90.00
loop_
_atom_site_label
_atom_site_type_symbol
_atom_site_fract_x
_atom_site_fract_y
_atom_site_fract_z
Ir1 Ir 0.000 0.000 0.000
Ir2 Ir 0.000 0.500 0.247
Ru1 Ru 0.000 0.500 0.749
Cl1 Cl 0.000 0.000 0.530

---

Record 4
# PBE-GGA IrRuCl, relaxed
# energy above the lowest structure with this stoichiometry = 94.4 meV per atom
# theoretical density = 10896 kg/m³
# size of the total moment = 0.00 μB/f.u.
# raw formation energy = 0.572 eV per atom
# D(E_F) = 1.40 states/eV/atom
data_IrRuCl
_symmetry_space_group_name_H-M 'I 4 m m'
_symmetry_Int_Tables_number 107
_symmetry_space_group_name_Hall 'I 4 -2'
_cell_length_a 2.849
_cell_length_b 2.849
_cell_length_c 12.346
_cell_angle_alpha 90.00
_cell_angle_beta 90.00
_cell_angle_gamma 90.00
loop_
_atom_site_label
_atom_site_type_symbol
_atom_site_fract_x
_atom_site_fract_y
_atom_site_fract_z
Ir1 Ir 0.000 0.000 0.000
Ru1 Ru 0.000 0.000 0.633
Cl1 Cl 0.000 0.000 0.274